Entry 1:
VASP calculation (PBE-GGA) on crystalline BaCuAgSn2 at its relaxed geometry.

The structure in POSCAR format:
```
BaCuAgSn2
1.0
4.830 0.000 0.000
0.000 4.830 0.000
0.000 0.000 11.281
Ba Cu Ag Sn
2 2 2 4
Direct
0.000 0.000 0.000
0.500 0.500 0.500
0.000 0.500 0.750
0.500 0.000 0.250
0.000 0.500 0.250
0.500 0.000 0.750
0.000 0.000 0.369
0.000 0.000 0.631
0.500 0.500 0.131
0.500 0.500 0.869
```

Output
Uncorrected energy: -3.71 eV/atom
DOS at the Fermi energy: 0.530 states/eV per atom
Energy of formation from the pure elements: -1.7 eV per formula unit
Size of the total moment: 0.0 μB per formula unit

Entry 2:
VASP calculation (PBE-GGA) on crystalline BaCuTc2Ag at its relaxed geometry.

The structure in POSCAR format:
```
BaCuTc2Ag
1.0
4.764 0.000 0.000
0.000 4.764 0.000
0.000 0.000 5.731
Ba Cu Tc Ag
1 1 2 1
Direct
0.000 0.000 0.000
0.000 0.000 0.500
0.000 0.500 0.500
0.500 0.000 0.500
0.500 0.500 0.000
```

Output
Uncorrected energy: -4.53 eV/atom
DOS at the Fermi energy: 1.011 states/eV per atom
Energy of formation from the pure elements: 7.0 eV per formula unit
Size of the total moment: 5.4 μB per formula unit

Entry 3:
VASP calculation (PBE-GGA) on crystalline Ba2TlCuAg at its relaxed geometry.

The structure in POSCAR format:
```
Ba2TlCuAg
1.0
6.130 0.000 0.000
0.000 6.130 0.000
0.000 0.000 4.906
Ba Tl Cu Ag
2 1 1 1
Direct
0.000 0.500 0.000
0.500 0.000 0.000
0.000 0.000 0.500
0.500 0.500 0.000
0.500 0.500 0.500
```

Output
Uncorrected energy: -2.68 eV/atom
DOS at the Fermi energy: 0.788 states/eV per atom
Energy of formation from the pure elements: -0.2 eV per formula unit
Size of the total moment: 0.0 μB per formula unit

Entry 4:
VASP calculation (PBE-GGA) on crystalline Ba2ZnCuAg at its relaxed geometry.

The structure in POSCAR format:
```
Ba2ZnCuAg
1.0
6.119 0.000 0.000
0.000 6.119 0.000
0.000 0.000 4.670
Ba Zn Cu Ag
2 1 1 1
Direct
0.000 0.500 0.000
0.500 0.000 0.000
0.000 0.000 0.500
0.000 0.000 0.000
0.500 0.500 0.500
```

Output
Uncorrected energy: -2.43 eV/atom
DOS at the Fermi energy: 0.892 states/eV per atom
Energy of formation from the pure elements: -0.1 eV per formula unit
Size of the total moment: 0.0 μB per formula unit

Entry 5:
VASP calculation (PBE-GGA) on crystalline BaZnCuAg2 at its relaxed geometry.

The structure in POSCAR format:
```
BaZnCuAg2
1.0
5.112 0.000 0.000
0.000 5.112 0.000
0.000 0.000 4.771
Ba Zn Cu Ag
1 1 1 2
Direct
0.000 0.000 0.000
0.500 0.500 0.000
0.500 0.500 0.500
0.000 0.500 0.500
0.500 0.000 0.500
```

Output
Uncorrected energy: -2.63 eV/atom
DOS at the Fermi energy: 0.356 states/eV per atom
Energy of formation from the pure elements: -0.1 eV per formula unit
Size of the total moment: 0.0 μB per formula unit

Entry 6:
VASP calculation (PBE-GGA) on crystalline BaZn2CuAg at its relaxed geometry.

The structure in POSCAR format:
```
BaZn2CuAg
1.0
4.800 0.000 0.000
0.000 4.800 0.000
0.000 0.000 5.186
Ba Zn Cu Ag
1 2 1 1
Direct
0.000 0.000 0.000
0.000 0.500 0.500
0.500 0.000 0.500
0.500 0.500 0.500
0.500 0.500 0.000
```

Output
Uncorrected energy: -2.34 eV/atom
DOS at the Fermi energy: 0.531 states/eV per atom
Energy of formation from the pure elements: -0.3 eV per formula unit
Size of the total moment: 0.0 μB per formula unit